A relaxed Cs3TlFe2F9 crystal. Source: Alexandria via LeMat-Bulk, functional PBE+U.

Calculated values
calculated total energy: -70.490 eV/cell
DOS(E_F): 5.89 states/eV/cell

a b c (Å): 6.3644 6.3644 8.0540
angles (deg): 90.00 90.00 120.00
Space group P-3m1 (No. 164)
One atom of each set of equivalent atoms:
Cs 0.0000 0.0000 0.0000 [1 per cell]
Cs 0.3333 0.6667 0.6657 [2 per cell]
Tl 0.0000 0.0000 0.5000 [1 per cell]
Fe 0.3333 0.6667 0.1435 [2 per cell]
F 0.0000 0.5000 0.0000 [3 per cell]
F 0.1860 0.3721 0.2836 [6 per cell]